(1)
CaSi2Pb2: relaxed, PBE.

- energy above the lowest structure with this stoichiometry (eV/atom) = 0.000
- uncorrected formation energy (meV per atom) = 6

a b c (Å): 7.7169 7.7169 4.3255
angles (deg): 90.00 90.00 90.00
With the nearest neighbours (Å) after each atom.
Atoms (fractional coordinates):
Pb  0.6723  0.8277  0.5000  6 Si 3.10-3.22
Pb  0.1723  0.6723  0.5000  6 Si 3.10-3.22
Pb  0.8277  0.3277  0.5000  6 Si 3.10-3.22
Pb  0.3277  0.1723  0.5000  6 Si 3.10-3.22
Ca  0.5000  0.5000  0.0000  4 Si 3.13
Ca  0.0000  0.0000  0.0000  4 Si 3.13
Si  0.6086  0.1086  0.0000  1 Si 2.37
Si  0.3914  0.8914  0.0000  1 Si 2.37
Si  0.1086  0.3914  0.0000  1 Si 2.37
Si  0.8914  0.6086  0.0000  1 Si 2.37

(2)
CaSi2Pb2: relaxed, PBE.

- energy above the lowest structure with this stoichiometry (eV/atom) = 0.065
- uncorrected formation energy (meV per atom) = 71

a b c (Å): 4.6148 4.6148 7.2110
angles (deg): 71.34 71.34 90.00
With the nearest neighbours (Å) after each atom.
Atoms (fractional coordinates):
Ca  0.0000  0.0000  0.0000  8 Si 3.46
Si  0.4114  0.4114  0.1772  1 Si 2.28
Si  0.5886  0.5886  0.8228  1 Si 2.28
Pb  0.2500  0.7500  0.5000  4 Si 3.10, 4 Pb 3.26
Pb  0.7500  0.2500  0.5000  4 Si 3.10, 4 Pb 3.26

(3)
CaSiPb2: relaxed, PBE.

- uncorrected formation energy (meV per atom) = -29

a b c (Å): 5.9532 5.9532 5.9532
angles (deg): 134.17 134.17 66.82
With the nearest neighbours (Å) after each atom.
Atoms (fractional coordinates):
Pb  0.0000  0.0000  0.0000  4 Pb 3.28, 4 Si 3.40, 4 Ca 3.40
Pb  0.5000  0.5000  0.0000  4 Pb 3.28, 4 Ca 3.40, 4 Si 3.40
Ca  0.7500  0.2500  0.5000  4 Si 3.28, 8 Pb 3.40
Si  0.2500  0.7500  0.5000  4 Ca 3.28, 8 Pb 3.40